*a*
# K2SrCu

A geometry-optimized K2SrCu structure (PBE, Alexandria).

Structure (POSCAR):
```
K2SrCu
1.0
2.894 -2.906 0.000
2.894 2.906 0.000
0.000 0.000 11.070
K Sr Cu
2 1 1
Direct
0.000 0.000 0.173
0.000 0.000 0.827
0.500 0.500 0.500
0.500 0.500 0.000
```

---

*b*
# K2SrCu

A geometry-optimized K2SrCu structure (PBE, Alexandria).

Structure (POSCAR):
```
K2SrCu
1.0
3.163 -6.966 0.000
3.163 6.966 0.000
0.000 0.000 4.603
K Sr Cu
2 1 1
Direct
0.163 0.837 0.000
0.837 0.163 0.000
0.500 0.500 0.500
0.000 0.000 0.500
```

---

*c*
# K2SrCu

A geometry-optimized K2SrCu structure (PBE, Alexandria).

Structure (POSCAR):
```
K2SrCu
1.0
2.196 1.268 12.101
-2.196 1.268 12.101
0.000 -2.536 12.101
K Sr Cu
2 1 1
Direct
0.225 0.225 0.225
0.775 0.775 0.775
0.000 0.000 0.000
0.500 0.500 0.500
```

---

Stability verdict: *b*, ahead by 57 meV per atom

---

*a*
# K2SrCu

A geometry-optimized K2SrCu structure (PBE, Alexandria).

Structure (POSCAR):
```
K2SrCu
1.0
5.578 -2.126 0.000
5.578 2.126 0.000
-2.949 0.000 8.240
K Sr Cu
2 1 1
Direct
0.000 0.000 0.000
0.172 0.172 0.648
0.352 0.352 0.325
0.641 0.641 0.325
```

---

*b*
# K2SrCu

A geometry-optimized K2SrCu structure (PBE, Alexandria).

Structure (POSCAR):
```
K2SrCu
1.0
-2.022 2.398 10.140
2.022 -2.398 10.140
2.022 2.398 -10.140
K Sr Cu
2 1 1
Direct
0.160 0.160 0.000
0.840 0.840 0.000
0.500 0.000 0.500
0.000 0.500 0.500
```

---

Stability verdict: *b*, ahead by 42 meV per atom

---

*a*
# KSrCu2

A geometry-optimized KSrCu2 structure (PBE, Alexandria).

Structure (POSCAR):
```
KSrCu2
1.0
3.828 -3.836 0.000
3.828 3.836 0.000
0.000 0.000 3.887
K Sr Cu
1 1 2
Direct
0.000 0.000 0.000
0.500 0.500 0.000
0.000 0.500 0.500
0.500 0.000 0.500
```

---

*b*
# KSrCu2

A geometry-optimized KSrCu2 structure (PBE, Alexandria).

Structure (POSCAR):
```
KSrCu2
1.0
-4.210 4.210 3.629
4.210 -4.210 3.629
4.210 4.210 -3.629
K Sr Cu
2 2 4
Direct
0.000 0.000 0.000
0.750 0.250 0.500
0.250 0.750 0.500
0.500 0.500 0.000
0.135 0.625 0.010
0.375 0.385 0.510
0.615 0.125 0.990
0.875 0.865 0.490
```

---

*c*
# KSrCu2

A geometry-optimized KSrCu2 structure (PBE, Alexandria).

Structure (POSCAR):
```
KSrCu2
1.0
0.000 3.846 3.846
3.846 0.000 3.846
3.846 3.846 0.000
K Sr Cu
1 1 2
Direct
0.000 0.000 0.000
0.500 0.500 0.500
0.250 0.250 0.250
0.750 0.750 0.750
```

---

Stability verdict: *a*, ahead by 6 meV per atom